# 1
This record from Alexandria via LeMat-Bulk describes a geometry-optimized AcCd4Si2 structure. The functional is PBE.

Cell and atoms, written as CIF:
```
data_AcCd4Si2
_chemical_formula_sum 'Ac2 Cd8 Si4'
_cell_length_a 4.4204
_cell_length_b 16.2552
_cell_length_c 4.4388
_cell_angle_alpha 90.00
_cell_angle_beta 90.00
_cell_angle_gamma 90.00
_symmetry_space_group_name_H-M 'C m m m'
_symmetry_Int_Tables_number 65
_symmetry_space_group_name_Hall '-C 2 2'
loop_
_atom_site_label
_atom_site_type_symbol
_atom_site_fract_x
_atom_site_fract_y
_atom_site_fract_z
Ac1 Ac 0.0000 0.0000 0.0000
Cd1 Cd 0.0000 0.1794 0.5000
Cd2 Cd 0.0000 0.3161 0.0000
Si1 Si 0.0000 0.4266 0.5000
```

DFT total energy, eV/atom: -2.86
Crystal system: orthorhombic



# 2
This record from Alexandria via LeMat-Bulk describes a geometry-optimized Ac4CdSi structure. The functional is PBE.

Cell and atoms, written as CIF:
```
data_Ac4CdSi
_chemical_formula_sum 'Ac4 Cd1 Si1'
_cell_length_a 5.4504
_cell_length_b 5.4504
_cell_length_c 7.7690
_cell_angle_alpha 90.00
_cell_angle_beta 90.00
_cell_angle_gamma 90.00
_symmetry_space_group_name_H-M 'P 4/m m m'
_symmetry_Int_Tables_number 123
_symmetry_space_group_name_Hall '-P 4 2'
loop_
_atom_site_label
_atom_site_type_symbol
_atom_site_fract_x
_atom_site_fract_y
_atom_site_fract_z
Ac1 Ac 0.0000 0.5000 0.2347
Cd1 Cd 0.0000 0.0000 0.5000
Si1 Si 0.5000 0.5000 0.0000
```

DFT total energy, eV/atom: -3.92
Crystal system: tetragonal



# 3
This record from Alexandria via LeMat-Bulk describes a geometry-optimized Ac2Cd2Si structure. The functional is PBE.

Cell and atoms, written as CIF:
```
data_Ac2Cd2Si
_chemical_formula_sum 'Ac4 Cd4 Si2'
_cell_length_a 4.0320
_cell_length_b 4.0320
_cell_length_c 19.2309
_cell_angle_alpha 90.00
_cell_angle_beta 90.00
_cell_angle_gamma 90.00
_symmetry_space_group_name_H-M 'I 4/m m m'
_symmetry_Int_Tables_number 139
_symmetry_space_group_name_Hall '-I 4 2'
loop_
_atom_site_label
_atom_site_type_symbol
_atom_site_fract_x
_atom_site_fract_y
_atom_site_fract_z
Ac1 Ac 0.0000 0.0000 0.0878
Cd1 Cd 0.0000 0.5000 0.2500
Si1 Si 0.0000 0.0000 0.5000
```

DFT total energy, eV/atom: -3.28
Crystal system: tetragonal



# 4
This record from Alexandria via LeMat-Bulk describes a geometry-optimized AcCd6Si2 structure. The functional is PBE.

Cell and atoms, written as CIF:
```
data_AcCd6Si2
_chemical_formula_sum 'Ac1 Cd6 Si2'
_cell_length_a 4.4385
_cell_length_b 4.4385
_cell_length_c 10.3563
_cell_angle_alpha 90.00
_cell_angle_beta 90.00
_cell_angle_gamma 90.00
_symmetry_space_group_name_H-M 'P 4/m m m'
_symmetry_Int_Tables_number 123
_symmetry_space_group_name_Hall '-P 4 2'
loop_
_atom_site_label
_atom_site_type_symbol
_atom_site_fract_x
_atom_site_fract_y
_atom_site_fract_z
Ac1 Ac 0.0000 0.0000 0.0000
Cd1 Cd 0.0000 0.0000 0.5000
Cd2 Cd 0.0000 0.5000 0.2851
Cd3 Cd 0.5000 0.5000 0.5000
Si1 Si 0.5000 0.5000 0.1155
```

DFT total energy, eV/atom: -2.41
Crystal system: tetragonal



# 5
This record from Alexandria via LeMat-Bulk describes a geometry-optimized Ac12CdSi7 structure. The functional is PBE.

Cell and atoms, written as CIF:
```
data_Ac12CdSi7
_chemical_formula_sum 'Ac36 Cd3 Si21'
_cell_length_a 16.0636
_cell_length_b 16.0636
_cell_length_c 9.5022
_cell_angle_alpha 90.00
_cell_angle_beta 90.00
_cell_angle_gamma 120.00
_symmetry_space_group_name_H-M 'R -3'
_symmetry_Int_Tables_number 148
_symmetry_space_group_name_Hall '-R 3'
loop_
_atom_site_label
_atom_site_type_symbol
_atom_site_fract_x
_atom_site_fract_y
_atom_site_fract_z
Ac1 Ac 0.0199 0.4381 0.3240
Ac2 Ac 0.0440 0.1713 0.2740
Cd1 Cd 0.0000 0.0000 0.0000
Si1 Si 0.0000 0.0000 0.5000
Si2 Si 0.0468 0.1824 0.9239
```

DFT total energy, eV/atom: -4.67
Crystal system: trigonal



# 6
This record from Alexandria via LeMat-Bulk describes a geometry-optimized Ac12CdSi6 structure. The functional is PBE.

Cell and atoms, written as CIF:
```
data_Ac12CdSi6
_chemical_formula_sum 'Ac24 Cd2 Si12'
_cell_length_a 10.9987
_cell_length_b 10.9987
_cell_length_c 10.9987
_cell_angle_alpha 90.00
_cell_angle_beta 90.00
_cell_angle_gamma 90.00
_symmetry_space_group_name_H-M 'I m -3'
_symmetry_Int_Tables_number 204
_symmetry_space_group_name_Hall '-I 2 2 3'
loop_
_atom_site_label
_atom_site_type_symbol
_atom_site_fract_x
_atom_site_fract_y
_atom_site_fract_z
Ac1 Ac 0.0000 0.3008 0.1883
Cd1 Cd 0.0000 0.0000 0.0000
Si1 Si 0.0000 0.1090 0.5000
```

DFT total energy, eV/atom: -4.76
Crystal system: cubic



# 7
This record from Alexandria via LeMat-Bulk describes a geometry-optimized Ac2Cd6Si3 structure. The functional is PBE.

Cell and atoms, written as CIF:
```
data_Ac2Cd6Si3
_chemical_formula_sum 'Ac2 Cd6 Si3'
_cell_length_a 8.3572
_cell_length_b 8.3572
_cell_length_c 4.3750
_cell_angle_alpha 90.00
_cell_angle_beta 90.00
_cell_angle_gamma 120.00
_symmetry_space_group_name_H-M 'P -6 2 m'
_symmetry_Int_Tables_number 189
_symmetry_space_group_name_Hall 'P -6 -2'
loop_
_atom_site_label
_atom_site_type_symbol
_atom_site_fract_x
_atom_site_fract_y
_atom_site_fract_z
Ac1 Ac 0.3333 0.6667 0.0000
Cd1 Cd 0.0000 0.1995 0.0000
Cd2 Cd 0.0000 0.7059 0.5000
Si1 Si 0.0000 0.3870 0.5000
```

DFT total energy, eV/atom: -2.99
Crystal system: hexagonal



# 8
This record from Alexandria via LeMat-Bulk describes a geometry-optimized Ac4Cd2Si structure. The functional is PBE.

Cell and atoms, written as CIF:
```
data_Ac4Cd2Si
_chemical_formula_sum 'Ac8 Cd4 Si2'
_cell_length_a 5.9436
_cell_length_b 5.9436
_cell_length_c 16.2832
_cell_angle_alpha 90.00
_cell_angle_beta 90.00
_cell_angle_gamma 90.00
_symmetry_space_group_name_H-M 'I 4/m m m'
_symmetry_Int_Tables_number 139
_symmetry_space_group_name_Hall '-I 4 2'
loop_
_atom_site_label
_atom_site_type_symbol
_atom_site_fract_x
_atom_site_fract_y
_atom_site_fract_z
Ac1 Ac 0.0000 0.0000 0.1865
Ac2 Ac 0.0000 0.5000 0.0000
Cd1 Cd 0.0000 0.0000 0.3879
Si1 Si 0.0000 0.0000 0.0000
```

DFT total energy, eV/atom: -3.47
Crystal system: tetragonal



# 9
This record from Alexandria via LeMat-Bulk describes a geometry-optimized Ac3CdSi2 structure. The functional is PBE.

Cell and atoms, written as CIF:
```
data_Ac3CdSi2
_chemical_formula_sum 'Ac18 Cd6 Si12'
_cell_length_a 8.4284
_cell_length_b 8.4284
_cell_length_c 19.8449
_cell_angle_alpha 90.00
_cell_angle_beta 90.00
_cell_angle_gamma 120.00
_symmetry_space_group_name_H-M 'R -3 c'
_symmetry_Int_Tables_number 167
_symmetry_space_group_name_Hall '-R 3 2"c'
loop_
_atom_site_label
_atom_site_type_symbol
_atom_site_fract_x
_atom_site_fract_y
_atom_site_fract_z
Ac1 Ac 0.0000 0.2864 0.2500
Cd1 Cd 0.0000 0.0000 0.0000
Si1 Si 0.0000 0.0000 0.1424
```

DFT total energy, eV/atom: -4.32
Crystal system: trigonal



# 10
This record from Alexandria via LeMat-Bulk describes a geometry-optimized AcCdSi structure. The functional is PBE.

Cell and atoms, written as CIF:
```
data_AcCdSi
_chemical_formula_sum 'Ac4 Cd4 Si4'
_cell_length_a 7.0778
_cell_length_b 7.0778
_cell_length_c 7.0778
_cell_angle_alpha 90.00
_cell_angle_beta 90.00
_cell_angle_gamma 90.00
_symmetry_space_group_name_H-M 'F -4 3 m'
_symmetry_Int_Tables_number 216
_symmetry_space_group_name_Hall 'F -4 2 3'
loop_
_atom_site_label
_atom_site_type_symbol
_atom_site_fract_x
_atom_site_fract_y
_atom_site_fract_z
Ac1 Ac 0.0000 0.0000 0.0000
Cd1 Cd 0.0000 0.0000 0.5000
Si1 Si 0.2500 0.2500 0.7500
```

DFT total energy, eV/atom: -3.71
Distance to the lowest polymorph of the same formula, meV/atom: 265
Crystal system: cubic



# 11
This record from Alexandria via LeMat-Bulk describes a geometry-optimized Ac4CdSi2 structure. The functional is PBE.

Cell and atoms, written as CIF:
```
data_Ac4CdSi2
_chemical_formula_sum 'Ac16 Cd4 Si8'
_cell_length_a 14.1335
_cell_length_b 10.6924
_cell_length_c 9.7806
_cell_angle_alpha 90.00
_cell_angle_beta 132.87
_cell_angle_gamma 90.00
_symmetry_space_group_name_H-M 'C 1 2/c 1'
_symmetry_Int_Tables_number 15
loop_
_symmetry_equiv_pos_as_xyz
'x,y,z'
'-x,-y,-z'
'-x,y,-z+1/2'
'x,-y,z+1/2'
'x+1/2,y+1/2,z'
'-x+1/2,-y+1/2,-z'
'-x+1/2,y+1/2,-z+1/2'
'x+1/2,-y+1/2,z+1/2'
loop_
_atom_site_label
_atom_site_type_symbol
_atom_site_fract_x
_atom_site_fract_y
_atom_site_fract_z
Ac1 Ac 0.0024 0.2137 0.0662
Ac2 Ac 0.1849 0.4639 0.9317
Cd1 Cd 0.0000 0.0899 0.7500
Si1 Si 0.0000 0.5000 0.0000
Si2 Si 0.2500 0.2500 0.5000
```

DFT total energy, eV/atom: -4.28
Crystal system: monoclinic



# 12
This record from Alexandria via LeMat-Bulk describes a geometry-optimized Ac4Cd5Si2 structure. The functional is PBE.

Cell and atoms, written as CIF:
```
data_Ac4Cd5Si2
_chemical_formula_sum 'Ac4 Cd5 Si2'
_cell_length_a 7.8403
_cell_length_b 4.6508
_cell_length_c 9.0791
_cell_angle_alpha 90.00
_cell_angle_beta 91.37
_cell_angle_gamma 90.00
_symmetry_space_group_name_H-M 'P 1 2/m 1'
_symmetry_Int_Tables_number 10
loop_
_symmetry_equiv_pos_as_xyz
'x,y,z'
'-x,-y,-z'
'-x,y,-z'
'x,-y,z'
loop_
_atom_site_label
_atom_site_type_symbol
_atom_site_fract_x
_atom_site_fract_y
_atom_site_fract_z
Ac1 Ac 0.1955 0.0000 0.1538
Ac2 Ac 0.2369 0.0000 0.5950
Cd1 Cd 0.1439 0.5000 0.8775
Cd2 Cd 0.4288 0.5000 0.3455
Cd3 Cd 0.5000 0.5000 0.0000
Si1 Si 0.0591 0.5000 0.3801
```

DFT total energy, eV/atom: -3.26
Crystal system: monoclinic